# 1
# SrInSeBr2 | the Alexandria database | SCAN | single point on PBEsol structure
# VASP energy	-23.95	eV/atom
# crystal system	tetragonal
# symmetry	P4/mmm, No. 123
# formation energy without anion corrections	-1.02	eV per atom
# total moment	1.00	μB/cell
data_SrInSeBr2
_chemical_formula_sum 'Sr1 In1 Se1 Br2'
_symmetry_space_group_name_H-M 'P 1'
_symmetry_Int_Tables_number 1
_cell_length_a 5.7720
_cell_length_b 5.7720
_cell_length_c 5.8921
_cell_angle_alpha 90.00
_cell_angle_beta 90.00
_cell_angle_gamma 90.00
loop_
_symmetry_equiv_pos_as_xyz
'x,y,z'
loop_
_atom_site_label
_atom_site_fract_x
_atom_site_fract_y
_atom_site_fract_z
_atom_site_occupancy
Sr1 0.0000 0.0000 0.0000 1
In1 0.5000 0.5000 0.5000 1
Se1 0.0000 0.0000 0.5000 1
Br1 0.0000 0.5000 0.0000 1
Br2 0.5000 0.0000 0.0000 1

---

# 2
# TcAu | the Alexandria database | SCAN | single point on PBEsol structure
# VASP energy	-52.08	eV/atom
# energy of formation from the pure elements	29	meV/atom
# crystal system	trigonal
# symmetry	P-3m1, No. 164
# total moment	0.00	μB/cell
data_TcAu
_chemical_formula_sum 'Tc2 Au2'
_symmetry_space_group_name_H-M 'P 1'
_symmetry_Int_Tables_number 1
_cell_length_a 2.7923
_cell_length_b 2.7923
_cell_length_c 9.1328
_cell_angle_alpha 90.00
_cell_angle_beta 90.00
_cell_angle_gamma 120.00
loop_
_symmetry_equiv_pos_as_xyz
'x,y,z'
loop_
_atom_site_label
_atom_site_fract_x
_atom_site_fract_y
_atom_site_fract_z
_atom_site_occupancy
Tc1 0.3333 0.6667 0.3923 1
Tc2 0.6667 0.3333 0.6077 1
Au1 0.3333 0.6667 0.8641 1
Au2 0.6667 0.3333 0.1359 1

---

# 3
# PSeBr2 | the Alexandria database | SCAN | single point on PBEsol structure
# VASP energy	-16.95	eV/atom
# crystal system	tetragonal
# symmetry	P4mm, No. 99
# formation energy without anion corrections	0.40	eV per atom
# total moment	0.00	μB/cell
data_PSeBr2
_chemical_formula_sum 'P1 Se1 Br2'
_symmetry_space_group_name_H-M 'P 1'
_symmetry_Int_Tables_number 1
_cell_length_a 3.0524
_cell_length_b 3.0524
_cell_length_c 10.6128
_cell_angle_alpha 90.00
_cell_angle_beta 90.00
_cell_angle_gamma 90.00
loop_
_symmetry_equiv_pos_as_xyz
'x,y,z'
loop_
_atom_site_label
_atom_site_fract_x
_atom_site_fract_y
_atom_site_fract_z
_atom_site_occupancy
P1 0.0000 0.0000 0.0000 1
Se1 0.5000 0.5000 0.1111 1
Br1 0.0000 0.0000 0.3983 1
Br2 0.5000 0.5000 0.7324 1

---

# 4
# LaNiW2 | the Alexandria database | SCAN | single point on PBEsol structure
# VASP energy	-48.58	eV/atom
# energy of formation from the pure elements	1084	meV/atom
# crystal system	cubic
# symmetry	Fm-3m, No. 225
# total moment	0.01	μB/cell
data_LaNiW2
_chemical_formula_sum 'La4 Ni4 W8'
_symmetry_space_group_name_H-M 'P 1'
_symmetry_Int_Tables_number 1
_cell_length_a 6.3811
_cell_length_b 6.3811
_cell_length_c 6.3811
_cell_angle_alpha 90.00
_cell_angle_beta 90.00
_cell_angle_gamma 90.00
loop_
_symmetry_equiv_pos_as_xyz
'x,y,z'
loop_
_atom_site_label
_atom_site_fract_x
_atom_site_fract_y
_atom_site_fract_z
_atom_site_occupancy
La1 0.0000 0.0000 0.0000 1
La2 0.0000 0.5000 0.5000 1
La3 0.5000 0.0000 0.5000 1
La4 0.5000 0.5000 0.0000 1
Ni1 0.0000 0.0000 0.5000 1
Ni2 0.0000 0.5000 0.0000 1
Ni3 0.5000 0.0000 0.0000 1
Ni4 0.5000 0.5000 0.5000 1
W1 0.2500 0.2500 0.2500 1
W2 0.2500 0.2500 0.7500 1
W3 0.2500 0.7500 0.2500 1
W4 0.2500 0.7500 0.7500 1
W5 0.7500 0.2500 0.2500 1
W6 0.7500 0.2500 0.7500 1
W7 0.7500 0.7500 0.2500 1
W8 0.7500 0.7500 0.7500 1

---

# 5
# K2NaZn2H5C4O14 | the Alexandria database | SCAN | single point on PBEsol structure
# VASP energy	-8.45	eV/atom
# crystal system	monoclinic
# symmetry	P2_1/c, No. 14
# total moment	0.00	μB/cell
data_K2NaZn2H5C4O14
_chemical_formula_sum 'K4 Na2 Zn4 H10 C8 O28'
_symmetry_space_group_name_H-M 'P 1'
_symmetry_Int_Tables_number 1
_cell_length_a 5.1596
_cell_length_b 10.9317
_cell_length_c 11.4871
_cell_angle_alpha 90.00
_cell_angle_beta 113.72
_cell_angle_gamma 90.00
loop_
_symmetry_equiv_pos_as_xyz
'x,y,z'
loop_
_atom_site_label
_atom_site_fract_x
_atom_site_fract_y
_atom_site_fract_z
_atom_site_occupancy
K1 0.0336 0.1653 0.0782 1
K2 0.0336 0.3347 0.5782 1
K3 0.9664 0.6653 0.4218 1
K4 0.9664 0.8347 0.9218 1
Na1 0.0000 0.0000 0.5000 1
Na2 0.0000 0.5000 0.0000 1
Zn1 0.3284 0.6087 0.7938 1
Zn2 0.3284 0.8913 0.2938 1
Zn3 0.6716 0.1087 0.7062 1
Zn4 0.6716 0.3913 0.2062 1
H1 0.0503 0.6955 0.1762 1
H2 0.0503 0.8045 0.6762 1
H3 0.3812 0.6634 0.2258 1
H4 0.3812 0.8366 0.7258 1
H5 0.5000 0.0000 0.0000 1
H6 0.5000 0.5000 0.5000 1
H7 0.6188 0.1634 0.2742 1
H8 0.6188 0.3366 0.7742 1
H9 0.9497 0.1955 0.3238 1
H10 0.9497 0.3045 0.8238 1
C1 0.2863 0.0745 0.8185 1
C2 0.2863 0.4255 0.3185 1
C3 0.4229 0.1288 0.4329 1
C4 0.4229 0.3712 0.9329 1
C5 0.5771 0.6288 0.0671 1
C6 0.5771 0.8712 0.5671 1
C7 0.7137 0.5745 0.6815 1
C8 0.7137 0.9255 0.1815 1
O1 0.0564 0.0620 0.8357 1
O2 0.0564 0.4380 0.3357 1
O3 0.2055 0.1713 0.4466 1
O4 0.2055 0.3287 0.9466 1
O5 0.2423 0.7091 0.2523 1
O6 0.2423 0.7909 0.7523 1
O7 0.2875 0.1137 0.7129 1
O8 0.2875 0.3863 0.2129 1
O9 0.3362 0.6184 0.9689 1
O10 0.3362 0.8816 0.4689 1
O11 0.4090 0.0940 0.3224 1
O12 0.4090 0.4060 0.8224 1
O13 0.4711 0.5468 0.5895 1
O14 0.4711 0.9532 0.0895 1
O15 0.5289 0.0468 0.9105 1
O16 0.5289 0.4532 0.4105 1
O17 0.5910 0.5940 0.1776 1
O18 0.5910 0.9060 0.6776 1
O19 0.6638 0.1184 0.5311 1
O20 0.6638 0.3816 0.0311 1
O21 0.7125 0.6137 0.7871 1
O22 0.7125 0.8863 0.2871 1
O23 0.7577 0.2091 0.2477 1
O24 0.7577 0.2909 0.7477 1
O25 0.7945 0.6713 0.0534 1
O26 0.7945 0.8287 0.5534 1
O27 0.9436 0.5620 0.6643 1
O28 0.9436 0.9380 0.1643 1

---

# 6
# TeI2BrO | the Alexandria database | SCAN | single point on PBEsol structure
# VASP energy	-26.60	eV/atom
# crystal system	tetragonal
# symmetry	P4/mmm, No. 123
# formation energy without anion corrections	0.69	eV per atom
# total moment	0.00	μB/cell
data_TeI2BrO
_chemical_formula_sum 'Te1 I2 Br1 O1'
_symmetry_space_group_name_H-M 'P 1'
_symmetry_Int_Tables_number 1
_cell_length_a 5.8521
_cell_length_b 5.8521
_cell_length_c 3.8943
_cell_angle_alpha 90.00
_cell_angle_beta 90.00
_cell_angle_gamma 90.00
loop_
_symmetry_equiv_pos_as_xyz
'x,y,z'
loop_
_atom_site_label
_atom_site_fract_x
_atom_site_fract_y
_atom_site_fract_z
_atom_site_occupancy
Te1 0.0000 0.0000 0.0000 1
I1 0.0000 0.5000 0.5000 1
I2 0.5000 0.0000 0.5000 1
Br1 0.5000 0.5000 0.5000 1
O1 0.5000 0.5000 0.0000 1

---

# 7
# CoTc3S | the Alexandria database | SCAN | single point on PBEsol structure
# VASP energy	-24.73	eV/atom
# crystal system	cubic
# symmetry	Pm-3m, No. 221
# formation energy without anion corrections	1.69	eV per atom
# total moment	2.42	μB/cell
data_CoTc3S
_chemical_formula_sum 'Co1 Tc3 S1'
_symmetry_space_group_name_H-M 'P 1'
_symmetry_Int_Tables_number 1
_cell_length_a 4.3412
_cell_length_b 4.3412
_cell_length_c 4.3412
_cell_angle_alpha 90.00
_cell_angle_beta 90.00
_cell_angle_gamma 90.00
loop_
_symmetry_equiv_pos_as_xyz
'x,y,z'
loop_
_atom_site_label
_atom_site_fract_x
_atom_site_fract_y
_atom_site_fract_z
_atom_site_occupancy
Co1 0.0000 0.0000 0.0000 1
Tc1 0.0000 0.0000 0.5000 1
Tc2 0.0000 0.5000 0.0000 1
Tc3 0.5000 0.0000 0.0000 1
S1 0.5000 0.5000 0.5000 1

---

# 8
# RbRe2Br | the Alexandria database | SCAN | single point on PBEsol structure
# VASP energy	-42.51	eV/atom
# crystal system	cubic
# symmetry	Fm-3m, No. 225
# formation energy without anion corrections	3.09	eV per atom
# total moment	8.68	μB/cell
data_RbRe2Br
_chemical_formula_sum 'Rb4 Re8 Br4'
_symmetry_space_group_name_H-M 'P 1'
_symmetry_Int_Tables_number 1
_cell_length_a 6.5791
_cell_length_b 6.5791
_cell_length_c 6.5791
_cell_angle_alpha 90.00
_cell_angle_beta 90.00
_cell_angle_gamma 90.00
loop_
_symmetry_equiv_pos_as_xyz
'x,y,z'
loop_
_atom_site_label
_atom_site_fract_x
_atom_site_fract_y
_atom_site_fract_z
_atom_site_occupancy
Rb1 0.0000 0.0000 0.0000 1
Rb2 0.0000 0.5000 0.5000 1
Rb3 0.5000 0.0000 0.5000 1
Rb4 0.5000 0.5000 0.0000 1
Re1 0.2500 0.2500 0.2500 1
Re2 0.2500 0.2500 0.7500 1
Re3 0.2500 0.7500 0.2500 1
Re4 0.2500 0.7500 0.7500 1
Re5 0.7500 0.2500 0.2500 1
Re6 0.7500 0.2500 0.7500 1
Re7 0.7500 0.7500 0.2500 1
Re8 0.7500 0.7500 0.7500 1
Br1 0.0000 0.0000 0.5000 1
Br2 0.0000 0.5000 0.0000 1
Br3 0.5000 0.0000 0.0000 1
Br4 0.5000 0.5000 0.5000 1

---

# 9
# CsHfTe3 | the Alexandria database | SCAN | single point on PBEsol structure
# VASP energy	-43.27	eV/atom
# crystal system	cubic
# symmetry	Pm-3m, No. 221
# formation energy without anion corrections	-0.82	eV per atom
# total moment	0.00	μB/cell
data_CsHfTe3
_chemical_formula_sum 'Cs1 Hf1 Te3'
_symmetry_space_group_name_H-M 'P 1'
_symmetry_Int_Tables_number 1
_cell_length_a 5.6087
_cell_length_b 5.6087
_cell_length_c 5.6087
_cell_angle_alpha 90.00
_cell_angle_beta 90.00
_cell_angle_gamma 90.00
loop_
_symmetry_equiv_pos_as_xyz
'x,y,z'
loop_
_atom_site_label
_atom_site_fract_x
_atom_site_fract_y
_atom_site_fract_z
_atom_site_occupancy
Cs1 0.0000 0.0000 0.0000 1
Hf1 0.5000 0.5000 0.5000 1
Te1 0.0000 0.5000 0.5000 1
Te2 0.5000 0.0000 0.5000 1
Te3 0.5000 0.5000 0.0000 1

---

# 10
# Tl2RhCl | the Alexandria database | SCAN | single point on PBEsol structure
# VASP energy	-46.72	eV/atom
# crystal system	monoclinic
# symmetry	C2/m, No. 12
# formation energy without anion corrections	-0.10	eV per atom
# total moment	0.01	μB/cell
data_Tl2RhCl
_chemical_formula_sum 'Tl4 Rh2 Cl2'
_symmetry_space_group_name_H-M 'P 1'
_symmetry_Int_Tables_number 1
_cell_length_a 7.1729
_cell_length_b 7.1744
_cell_length_c 3.1412
_cell_angle_alpha 90.00
_cell_angle_beta 90.31
_cell_angle_gamma 90.00
loop_
_symmetry_equiv_pos_as_xyz
'x,y,z'
loop_
_atom_site_label
_atom_site_fract_x
_atom_site_fract_y
_atom_site_fract_z
_atom_site_occupancy
Tl1 0.2500 0.2500 0.0000 1
Tl2 0.2500 0.7500 0.0000 1
Tl3 0.7500 0.2500 0.0000 1
Tl4 0.7500 0.7500 0.0000 1
Rh1 0.0000 0.0000 0.5000 1
Rh2 0.5000 0.5000 0.5000 1
Cl1 0.0000 0.5000 0.5000 1
Cl2 0.5000 0.0000 0.5000 1

---

# 11
# K8LaP4S16 | the Alexandria database | SCAN | single point on PBEsol structure
# VASP energy	-11.67	eV/atom
# crystal system	orthorhombic
# symmetry	I222, No. 23
# formation energy without anion corrections	-1.14	eV per atom
# total moment	0.00	μB/cell
data_K8LaP4S16
_chemical_formula_sum 'K8 La1 P4 S16'
_symmetry_space_group_name_H-M 'P 1'
_symmetry_Int_Tables_number 1
_cell_length_a 11.1112
_cell_length_b 11.1112
_cell_length_c 11.1112
_cell_angle_alpha 134.02
_cell_angle_beta 127.91
_cell_angle_gamma 71.98
loop_
_symmetry_equiv_pos_as_xyz
'x,y,z'
loop_
_atom_site_label
_atom_site_fract_x
_atom_site_fract_y
_atom_site_fract_z
_atom_site_occupancy
K1 0.1617 0.2888 0.6135 1
K2 0.2133 0.2133 0.0000 1
K3 0.2522 0.7522 0.5000 1
K4 0.3248 0.7112 0.8729 1
K5 0.6752 0.5481 0.3865 1
K6 0.7478 0.2478 0.5000 1
K7 0.7867 0.7867 0.0000 1
K8 0.8383 0.4519 0.1271 1
La1 0.5000 0.0000 0.5000 1
P1 0.1318 0.6631 0.0485 1
P2 0.3854 0.3369 0.4686 1
P3 0.6146 0.0832 0.9515 1
P4 0.8682 0.9168 0.5314 1
S1 0.0010 0.7822 0.6143 1
S2 0.0240 0.5050 0.0042 1
S3 0.1652 0.9140 0.2968 1
S4 0.1680 0.3867 0.3857 1
S5 0.3517 0.6276 0.1215 1
S6 0.3828 0.0860 0.2512 1
S7 0.4938 0.3724 0.7240 1
S8 0.4992 0.4950 0.5191 1
S9 0.5008 0.0198 0.9958 1
S10 0.5062 0.2302 0.8785 1
S11 0.6172 0.8684 0.7032 1
S12 0.6483 0.7698 0.2760 1
S13 0.8320 0.2178 0.2187 1
S14 0.8348 0.1316 0.7488 1
S15 0.9760 0.9802 0.4809 1
S16 0.9990 0.6133 0.7813 1

---

# 12
# LiHgCl | the Alexandria database | SCAN | single point on PBEsol structure
# VASP energy	-27.39	eV/atom
# crystal system	tetragonal
# symmetry	I4mm, No. 107
# formation energy without anion corrections	-1.21	eV per atom
# total moment	0.00	μB/cell
data_LiHgCl
_chemical_formula_sum 'Li2 Hg2 Cl2'
_symmetry_space_group_name_H-M 'P 1'
_symmetry_Int_Tables_number 1
_cell_length_a 3.3788
_cell_length_b 3.3788
_cell_length_c 13.0958
_cell_angle_alpha 90.00
_cell_angle_beta 90.00
_cell_angle_gamma 90.00
loop_
_symmetry_equiv_pos_as_xyz
'x,y,z'
loop_
_atom_site_label
_atom_site_fract_x
_atom_site_fract_y
_atom_site_fract_z
_atom_site_occupancy
Li1 0.0000 0.0000 0.0000 1
Li2 0.5000 0.5000 0.5000 1
Hg1 0.0000 0.0000 0.2283 1
Hg2 0.5000 0.5000 0.7283 1
Cl1 0.0000 0.0000 0.4902 1
Cl2 0.5000 0.5000 0.9902 1

---

# 13
# TeMoRhAu2 | the Alexandria database | SCAN | single point on PBEsol structure
# VASP energy	-47.69	eV/atom
# crystal system	tetragonal
# symmetry	P4/mmm, No. 123
# formation energy without anion corrections	1.16	eV per atom
# total moment	0.00	μB/cell
data_TeMoRhAu2
_chemical_formula_sum 'Te1 Mo1 Rh1 Au2'
_symmetry_space_group_name_H-M 'P 1'
_symmetry_Int_Tables_number 1
_cell_length_a 4.9866
_cell_length_b 4.9866
_cell_length_c 4.5572
_cell_angle_alpha 90.00
_cell_angle_beta 90.00
_cell_angle_gamma 90.00
loop_
_symmetry_equiv_pos_as_xyz
'x,y,z'
loop_
_atom_site_label
_atom_site_fract_x
_atom_site_fract_y
_atom_site_fract_z
_atom_site_occupancy
Te1 0.0000 0.0000 0.0000 1
Mo1 0.5000 0.5000 0.5000 1
Rh1 0.5000 0.5000 0.0000 1
Au1 0.0000 0.5000 0.5000 1
Au2 0.5000 0.0000 0.5000 1